The following is a PBE calculation of Pm2PrZnN after structural relaxation, from Alexandria.

Cell: 4.9404 4.9404 5.0508 Å, 90.00 90.00 90.00°
Last column: nearest neighbours and their distance in Å.
Atoms (fractional coordinates):
Pm 0.0000 0.5000 0.0000  2 N 2.47
Pm 0.5000 0.0000 0.0000  2 N 2.47
Pr 0.0000 0.0000 0.5000  2 N 2.53
Zn 0.5000 0.5000 0.5000  4 Pr 3.49, 8 Pm 3.53
N 0.0000 0.0000 0.0000  4 Pm 2.47, 2 Pr 2.53

**SG**: No. 123
**Energy relative to the elements, uncorrected**: -0.64 eV/atom
**DOS at the Fermi energy**: 1.012 states/eV/atom

***

The following is a PBE calculation of PmPrZrN3 after structural relaxation, from Alexandria.

Cell: 5.8010 3.4334 9.4099 Å, 90.00 95.77 90.00°
Last column: nearest neighbours and their distance in Å.
Atoms (fractional coordinates):
Pm 0.1923 0.2500 0.1256  4 N 2.35-2.62
Pm 0.8077 0.7500 0.8744  4 N 2.35-2.62
Pr 0.2855 0.2500 0.7634  6 N 2.56-2.59
Pr 0.7145 0.7500 0.2366  6 N 2.56-2.59
Zr 0.2431 0.7500 0.4530  6 N 2.28-2.38
Zr 0.7569 0.2500 0.5470  6 N 2.28-2.38
N 0.0097 0.7500 0.6337  3 Zr 2.28-2.35
N 0.2224 0.7500 0.9582  3 Pm 2.35-2.46, 2 Pr 2.56
N 0.4704 0.2500 0.3622  3 Zr 2.28-2.38
N 0.5296 0.7500 0.6378  3 Zr 2.28-2.38
N 0.7776 0.2500 0.0418  3 Pm 2.35-2.46, 2 Pr 2.56
N 0.9903 0.2500 0.3663  3 Zr 2.28-2.35

**SG**: No. 11
**Energy relative to the elements, uncorrected**: -1.27 eV/atom
**DOS at the Fermi energy**: 0.332 states/eV/atom

***

The following is a PBE calculation of PmPtN after structural relaxation, from Alexandria.

Cell: 5.6714 5.6714 5.6714 Å, 144.49 144.49 51.09°
Last column: nearest neighbours and their distance in Å.
Atoms (fractional coordinates):
Pm 0.0000 0.0000 0.0000  4 N 2.46
Pt 0.3173 0.3173 0.0000  1 N 2.10
N 0.5221 0.5221 0.0000  1 Pt 2.10

**SG**: No. 107
**Energy above the most stable polymorph in this dataset**: 0.0 meV per atom
**Energy relative to the elements, uncorrected**: -0.26 eV/atom
**DOS at the Fermi energy**: 0.790 states/eV/atom

***

The following is a PBE calculation of Pm6PtN2 after structural relaxation, from Alexandria.

Cell: 6.7085 6.7085 8.6783 Å, 117.42 117.42 43.24°
Last column: nearest neighbours and their distance in Å.
Atoms (fractional coordinates):
Pm 0.0198 0.0198 0.1969  2 N 2.48-2.60, 1 Pt 2.76
Pm 0.3087 0.3087 0.9240  3 N 2.48-2.61
Pm 0.3405 0.3405 0.4008  1 N 2.46
Pm 0.6595 0.6595 0.5992  1 N 2.46
Pm 0.6913 0.6913 0.0760  3 N 2.48-2.61
Pm 0.9802 0.9802 0.8031  2 N 2.48-2.60, 1 Pt 2.76
Pt 0.0000 0.0000 0.5000  6 Pm 2.76-3.02
N 0.1793 0.1793 0.0859  6 Pm 2.46-2.61
N 0.8207 0.8207 0.9141  6 Pm 2.46-2.61

**SG**: No. 12
**Energy relative to the elements, uncorrected**: -0.80 eV/atom
**DOS at the Fermi energy**: 0.765 states/eV/atom

***

The following is a PBE calculation of PmPtN after structural relaxation, from Alexandria.

Cell: 4.5877 4.5877 4.5877 Å, 126.69 126.69 78.76°
Last column: nearest neighbours and their distance in Å.
Atoms (fractional coordinates):
Pm 0.0000 0.0000 0.0000  1 N 2.22
Pt 0.4151 0.4151 0.0000  1 N 1.93
N 0.6866 0.6866 0.0000  1 Pt 1.93

**SG**: No. 107
**Energy above the most stable polymorph in this dataset**: 158.6 meV per atom
**Energy relative to the elements, uncorrected**: -0.10 eV/atom
**DOS at the Fermi energy**: 0.425 states/eV/atom

***

The following is a PBE calculation of Pm2PtN2 after structural relaxation, from Alexandria.

Cell: 6.8801 6.8801 6.8801 Å, 149.57 149.57 43.58°
Last column: nearest neighbours and their distance in Å.
Atoms (fractional coordinates):
Pm 0.1524 0.1524 0.0000  5 N 2.35-2.56
Pm 0.8476 0.8476 0.0000  5 N 2.35-2.56
Pt 0.5000 0.5000 0.0000  2 N 2.09
N 0.3363 0.3363 0.0000  1 Pt 2.09
N 0.6637 0.6637 0.0000  1 Pt 2.09

**SG**: No. 139
**Energy relative to the elements, uncorrected**: -1.29 eV/atom
**DOS at the Fermi energy**: 0.121 states/eV/atom

***

The following is a PBE calculation of Pm8Pt2N3 after structural relaxation, from Alexandria.

Cell: 7.8928 7.8928 6.5323 Å, 105.42 105.42 55.15°
Last column: nearest neighbours and their distance in Å.
Atoms (fractional coordinates):
Pm 0.1045 0.1045 0.4016  3 N 2.50-2.59
Pm 0.1317 0.6580 0.1040  2 N 2.49-2.56
Pm 0.3420 0.8683 0.8960  2 N 2.49-2.56
Pm 0.3894 0.3894 0.5461  2 N 2.51
Pm 0.6106 0.6106 0.4539  2 N 2.51
Pm 0.6580 0.1317 0.1040  2 N 2.49-2.56
Pm 0.8683 0.3420 0.8960  2 N 2.49-2.56
Pm 0.8955 0.8955 0.5984  3 N 2.50-2.59
Pt 0.2600 0.2600 0.8166  6 Pm 2.88-2.94
Pt 0.7400 0.7400 0.1834  6 Pm 2.88-2.94
N 0.0000 0.0000 0.0000  6 Pm 2.49-2.59
N 0.2418 0.7582 0.5000  6 Pm 2.50-2.56
N 0.7582 0.2418 0.5000  6 Pm 2.50-2.56

**SG**: No. 12
**Energy relative to the elements, uncorrected**: -0.90 eV/atom
**DOS at the Fermi energy**: 0.993 states/eV/atom

***

The following is a PBE calculation of Pm4PtN2 after structural relaxation, from Alexandria.

Cell: 6.4174 6.4174 12.9763 Å, 90.00 90.00 146.41°
Last column: nearest neighbours and their distance in Å.
Atoms (fractional coordinates):
Pm 0.0000 0.0000 0.0000  4 N 2.59
Pm 0.0000 0.0000 0.5000  4 N 2.59
Pm 0.2705 0.7295 0.6078  3 N 2.43-2.58
Pm 0.2705 0.7295 0.8922  3 N 2.43-2.58
Pm 0.4318 0.5682 0.2500  2 N 2.63, 2 Pt 2.86
Pm 0.5682 0.4318 0.7500  2 N 2.63, 2 Pt 2.86
Pm 0.7295 0.2705 0.1078  3 N 2.43-2.58
Pm 0.7295 0.2705 0.3922  3 N 2.43-2.58
Pt 0.1093 0.8907 0.2500  6 Pm 2.86-3.00
Pt 0.8907 0.1093 0.7500  6 Pm 2.86-3.00
N 0.3655 0.6345 0.0569  6 Pm 2.43-2.63
N 0.3655 0.6345 0.4431  6 Pm 2.43-2.63
N 0.6345 0.3655 0.5569  6 Pm 2.43-2.63
N 0.6345 0.3655 0.9431  6 Pm 2.43-2.63

**SG**: No. 63
**Energy relative to the elements, uncorrected**: -1.09 eV/atom
**DOS at the Fermi energy**: 0.818 states/eV/atom

***

The following is a PBE calculation of Pm3Pt2N after structural relaxation, from Alexandria.

Cell: 7.1704 7.1704 7.4730 Å, 105.11 105.11 47.86°
Last column: nearest neighbours and their distance in Å.
Atoms (fractional coordinates):
Pm 0.0398 0.9602 0.7500  1 N 2.43
Pm 0.3609 0.3630 0.4308  2 N 2.56
Pm 0.3630 0.3609 0.9308  2 N 2.56
Pm 0.6370 0.6391 0.0692  2 N 2.56
Pm 0.6391 0.6370 0.5692  2 N 2.56
Pm 0.9602 0.0398 0.2500  1 N 2.43
Pt 0.1736 0.1776 0.0875  6 Pm 2.90-3.00
Pt 0.1776 0.1736 0.5875  6 Pm 2.90-3.00
Pt 0.8224 0.8264 0.4125  6 Pm 2.90-3.00
Pt 0.8264 0.8224 0.9125  6 Pm 2.90-3.00
N 0.4569 0.5431 0.7500  5 Pm 2.43-2.56
N 0.5431 0.4569 0.2500  5 Pm 2.43-2.56

**SG**: No. 15
**Energy relative to the elements, uncorrected**: -1.04 eV/atom
**DOS at the Fermi energy**: 0.483 states/eV/atom

***

The following is a PBE calculation of Pm6Pt3N2 after structural relaxation, from Alexandria.

Cell: 12.1900 12.1900 12.1900 Å, 157.53 157.53 31.99°
Last column: nearest neighbours and their distance in Å.
Atoms (fractional coordinates):
Pm 0.0826 0.5826 0.5000  2 N 2.43
Pm 0.2015 0.2015 0.0000  1 N 2.29
Pm 0.4174 0.9174 0.5000  2 N 2.43
Pm 0.5826 0.0826 0.5000  2 N 2.43
Pm 0.7985 0.7985 0.0000  1 N 2.29
Pm 0.9174 0.4174 0.5000  2 N 2.43
Pt 0.3274 0.3274 0.0000  5 Pm 2.95-3.18
Pt 0.5000 0.5000 0.0000  8 Pm 3.06
Pt 0.6726 0.6726 0.0000  5 Pm 2.95-3.18
N 0.1036 0.1036 0.0000  5 Pm 2.29-2.43
N 0.8964 0.8964 0.0000  5 Pm 2.29-2.43

**SG**: No. 139
**Energy relative to the elements, uncorrected**: -1.00 eV/atom
**DOS at the Fermi energy**: 0.804 states/eV/atom

***

The following is a PBE calculation of Pm6Pt3N after structural relaxation, from Alexandria.

Cell: 6.7505 7.4446 12.0885 Å, 90.00 122.70 90.00°
Last column: nearest neighbours and their distance in Å.
Atoms (fractional coordinates):
Pm 0.0954 0.0417 0.2344  1 N 2.56
Pm 0.0954 0.4583 0.7344  1 N 2.56
Pm 0.2198 0.6942 0.0682  1 N 2.60, 1 Pt 2.83
Pm 0.2198 0.8058 0.5682  1 N 2.60, 1 Pt 2.83
Pm 0.3704 0.1663 0.0660  1 N 2.50
Pm 0.3704 0.3337 0.5660  1 N 2.50
Pm 0.6296 0.6663 0.4340  1 N 2.50
Pm 0.6296 0.8337 0.9340  1 N 2.50
Pm 0.7802 0.1942 0.4318  1 N 2.60, 1 Pt 2.83
Pm 0.7802 0.3058 0.9318  1 N 2.60, 1 Pt 2.83
Pm 0.9046 0.5417 0.2656  1 N 2.56
Pm 0.9046 0.9583 0.7656  1 N 2.56
Pt 0.3017 0.1055 0.7510  6 Pm 2.93-3.13
Pt 0.3017 0.3945 0.2510  6 Pm 2.93-3.13
Pt 0.5000 0.0000 0.5000  6 Pm 2.83-2.90
Pt 0.5000 0.5000 0.0000  6 Pm 2.83-2.90
Pt 0.6983 0.6055 0.7490  6 Pm 2.93-3.13
Pt 0.6983 0.8945 0.2490  6 Pm 2.93-3.13
N 0.0000 0.0000 0.0000  6 Pm 2.50-2.60
N 0.0000 0.5000 0.5000  6 Pm 2.50-2.60

**SG**: No. 14
**Energy relative to the elements, uncorrected**: -0.97 eV/atom
**DOS at the Fermi energy**: 0.793 states/eV/atom

***

The following is a PBE calculation of Pm4PtN after structural relaxation, from Alexandria.

Cell: 6.6221 6.6604 7.0018 Å, 90.00 100.06 90.00°
Last column: nearest neighbours and their distance in Å.
Atoms (fractional coordinates):
Pm 0.1246 0.1735 0.1926  2 N 2.62-2.70
Pm 0.1246 0.3265 0.6926  2 N 2.62-2.70
Pm 0.3267 0.6450 0.1144  1 N 2.38
Pm 0.3267 0.8550 0.6144  1 N 2.38
Pm 0.6733 0.1450 0.3856  1 N 2.38
Pm 0.6733 0.3550 0.8856  1 N 2.38
Pm 0.8754 0.6735 0.3074  2 N 2.62-2.70
Pm 0.8754 0.8265 0.8074  2 N 2.62-2.70
Pt 0.5000 0.0000 0.0000  4 Pm 2.81-2.91
Pt 0.5000 0.5000 0.5000  4 Pm 2.81-2.91
N 0.0000 0.0000 0.5000  4 Pm 2.38-2.62
N 0.0000 0.5000 0.0000  4 Pm 2.38-2.62

**SG**: No. 14
**Energy relative to the elements, uncorrected**: -0.76 eV/atom
**DOS at the Fermi energy**: 1.073 states/eV/atom

***

The lowest energy relative to the elements, uncorrected belongs to which entry? Pm2PtN2